Material: BaErMg2In4
Method: DFT, PBE
State: optimized geometry

Calculated values
E_form = -300 meV/atom
M_tot = 0.00 μB per cell

Geometry as CIF:
```
data_BaErMg2In4
_chemical_formula_sum 'Ba3 Er3 Mg6 In12'
_cell_length_a 4.9637
_cell_length_b 4.9637
_cell_length_c 32.8279
_cell_angle_alpha 90.00
_cell_angle_beta 90.00
_cell_angle_gamma 120.00
_space_group_name_H-M_alt 'R -3 m'
_space_group_IT_number 166
_space_group_name_Hall '-R 3 2"'
loop_
_atom_site_label
_atom_site_type_symbol
_atom_site_fract_x
_atom_site_fract_y
_atom_site_fract_z
_atom_site_occupancy
Ba1 Ba 0.0000 0.0000 0.0000 1
Er1 Er 0.0000 0.0000 0.5000 1
Mg1 Mg 0.0000 0.0000 0.2329 1
In1 In 0.0000 0.0000 0.1246 1
In2 In 0.0000 0.0000 0.4006 1
```